6
Lattice="4.046 -2.340 0.000 4.046 2.340 0.000 -2.673 0.000 7.564" Properties=species:S:1:pos:R:3 comment="Mg4TlPd (PBE-GGA, relaxed)" formation_enthalpy_0k_mev_per_atom=-183 polymorph_energy_ev_per_atom=0.0951 density_g_cm3=4.730 magnetic_moment_mub_per_fu=0.0 final_energy_ev_per_cell=-15.04 sg="C2/m (12)" pbc="T T T"
Mg 0.008 0.000 2.643
Mg 2.697 0.000 0.725
Mg 2.722 0.000 6.840
Mg 5.411 0.000 4.921
Tl 2.709 0.000 3.782
Pd 0.000 0.000 0.000

---

8
Lattice="-2.406 2.406 6.043 2.406 -2.406 6.043 2.406 2.406 -6.043" Properties=species:S:1:pos:R:3 comment="MgTl2Pd5 (PBE-GGA, relaxed)" formation_enthalpy_0k_mev_per_atom=-292 polymorph_energy_ev_per_atom=0.0452 density_g_cm3=11.457 magnetic_moment_mub_per_fu=0.0 final_energy_ev_per_cell=-34.63 sg="I4/mmm (139)" pbc="T T T"
Mg 0.000 0.000 0.000
Tl 0.000 0.000 3.108
Tl 0.000 0.000 8.979
Pd 2.406 0.000 1.454
Pd 2.406 0.000 4.589
Pd 0.000 0.000 6.043
Pd 0.000 2.406 1.454
Pd 0.000 2.406 4.589

---

12
Lattice="4.079 -6.221 0.000 4.079 6.221 0.000 -1.896 0.000 5.224" Properties=species:S:1:pos:R:3 comment="Mg4TlPd (PBE-GGA, relaxed)" formation_enthalpy_0k_mev_per_atom=-278 polymorph_energy_ev_per_atom=0.0000 density_g_cm3=5.111 magnetic_moment_mub_per_fu=0.0 final_energy_ev_per_cell=-31.21 sg="C2/c (15)" pbc="T T T"
Mg 1.415 4.048 4.923
Mg 1.062 1.067 3.347
Mg 3.899 4.048 2.913
Mg 2.010 -1.067 0.735
Mg 4.252 1.067 4.489
Mg 2.363 -4.048 2.311
Mg 5.200 -1.067 1.877
Mg 4.848 -4.048 0.301
Tl 3.605 1.502 1.306
Tl 2.657 -1.502 3.918
Pd 2.657 6.201 3.918
Pd 3.605 -6.201 1.306

---

4
Lattice="3.362 0.000 0.000 0.000 3.362 0.000 0.000 0.000 6.307" Properties=species:S:1:pos:R:3 comment="MgTlPd2 (PBE-GGA, relaxed)" formation_enthalpy_0k_mev_per_atom=-419 density_g_cm3=10.287 magnetic_moment_mub_per_fu=0.0 final_energy_ev_per_cell=-16.02 sg="P4/mmm (123)" pbc="T T T"
Mg 0.000 0.000 0.000
Tl 0.000 0.000 3.154
Pd 1.681 1.681 1.478
Pd 1.681 1.681 4.829

---

20
Lattice="8.334 0.000 0.000 0.000 7.642 0.000 -3.104 0.000 6.663" Properties=species:S:1:pos:R:3 comment="Mg3TlPd (PBE-GGA, relaxed)" formation_enthalpy_0k_mev_per_atom=-293 polymorph_energy_ev_per_atom=0.0000 density_g_cm3=6.006 magnetic_moment_mub_per_fu=0.0 final_energy_ev_per_cell=-55.23 sg="P2_1/c (14)" pbc="T T T"
Mg -0.770 0.125 2.044
Mg -2.322 3.696 5.375
Mg 1.919 0.770 0.609
Mg 0.367 3.051 3.940
Mg 0.131 5.481 6.156
Mg 1.683 5.982 2.824
Mg 3.548 1.660 3.839
Mg 5.100 2.161 0.507
Mg 4.864 4.591 2.723
Mg 3.312 6.873 6.054
Mg 7.553 3.946 1.288
Mg 6.001 7.517 4.619
Tl 0.788 0.377 4.802
Tl 2.340 3.444 1.471
Tl 2.891 4.198 5.192
Tl 4.442 7.265 1.861
Pd -0.961 5.371 3.610
Pd 0.591 6.093 0.278
Pd 4.640 1.550 6.385
Pd 6.192 2.272 3.053

---

16
Lattice="3.996 0.000 0.000 0.000 3.996 0.000 0.000 0.000 16.003" Properties=species:S:1:pos:R:3 comment="Mg3TlPd12 (PBE-GGA, relaxed)" formation_enthalpy_0k_mev_per_atom=-395 density_g_cm3=10.098 magnetic_moment_mub_per_fu=0.0 final_energy_ev_per_cell=-75.78 sg="P4/mmm (123)" pbc="T T T"
Mg 0.000 0.000 0.000
Mg 0.000 0.000 3.946
Mg 0.000 0.000 12.057
Tl 0.000 0.000 8.002
Pd 0.000 1.998 1.962
Pd 0.000 1.998 5.885
Pd 0.000 1.998 10.119
Pd 0.000 1.998 14.042
Pd 1.998 0.000 1.962
Pd 1.998 0.000 5.885
Pd 1.998 0.000 10.119
Pd 1.998 0.000 14.042
Pd 1.998 1.998 0.000
Pd 1.998 1.998 3.906
Pd 1.998 1.998 8.002
Pd 1.998 1.998 12.098

---

18
Lattice="-8.193 3.876 2.563 8.193 -3.876 2.563 8.193 3.876 -2.563" Properties=species:S:1:pos:R:3 comment="Mg2Tl2Pd5 (PBE-GGA, relaxed)" formation_enthalpy_0k_mev_per_atom=-316 density_g_cm3=10.094 magnetic_moment_mub_per_fu=0.0 final_energy_ev_per_cell=-73.47 sg="Ima2 (46)" pbc="T T T"
Mg 1.816 1.196 0.000
Mg 6.376 1.196 0.000
Mg 1.816 2.681 2.563
Mg 6.376 2.681 2.563
Tl 12.289 0.956 -0.030
Tl 0.000 3.876 0.027
Tl 0.000 0.000 2.590
Tl -4.096 2.920 2.533
Pd 9.185 1.243 0.026
Pd 7.201 -2.633 2.588
Pd 2.669 -0.122 2.530
Pd 5.524 -0.122 2.530
Pd 4.096 1.956 1.276
Pd 2.669 3.999 -0.033
Pd 5.524 3.999 -0.033
Pd 0.992 6.510 0.026
Pd -0.992 2.633 2.588
Pd 4.096 1.920 3.839

---

8
Lattice="4.374 0.000 0.000 0.000 4.374 0.000 0.000 0.000 8.688" Properties=species:S:1:pos:R:3 comment="Mg6TlPd (PBE-GGA, relaxed)" formation_enthalpy_0k_mev_per_atom=-195 polymorph_energy_ev_per_atom=0.0000 density_g_cm3=4.562 magnetic_moment_mub_per_fu=0.0 final_energy_ev_per_cell=-18.69 sg="P4/mmm (123)" pbc="T T T"
Mg 0.000 0.000 0.000
Mg 0.000 0.000 4.344
Mg 0.000 2.187 1.956
Mg 0.000 2.187 6.731
Mg 2.187 0.000 1.956
Mg 2.187 0.000 6.731
Tl 2.187 2.187 4.344
Pd 2.187 2.187 0.000

---

12
Lattice="6.427 -2.514 0.000 6.427 2.514 0.000 -5.360 0.000 7.428" Properties=species:S:1:pos:R:3 comment="Mg7TlPd4 (PBE-GGA, relaxed)" formation_enthalpy_0k_mev_per_atom=-329 density_g_cm3=5.536 magnetic_moment_mub_per_fu=0.0 final_energy_ev_per_cell=-38.25 sg="C2/m (12)" pbc="T T T"
Mg 0.000 0.000 0.000
Mg -0.919 0.000 4.722
Mg 2.945 0.000 0.909
Mg 2.264 0.000 4.628
Mg 5.230 0.000 2.800
Mg 4.549 0.000 6.519
Mg 8.414 0.000 2.705
Tl 6.427 0.000 0.000
Pd -3.310 0.000 5.714
Pd 0.656 0.000 2.587
Pd 6.838 0.000 4.841
Pd 10.804 0.000 1.714

---

19
Lattice="6.042 3.489 2.832 -6.042 3.489 2.832 0.000 -6.977 2.832" Properties=species:S:1:pos:R:3 comment="MgTl6Pd12 (PBE-GGA, relaxed)" formation_enthalpy_0k_mev_per_atom=-185 density_g_cm3=11.716 magnetic_moment_mub_per_fu=0.0 final_energy_ev_per_cell=-81.61 sg="R-3 (148)" pbc="T T T"
Mg 0.000 0.000 0.000
Tl -0.692 -2.213 2.202
Tl -1.570 1.706 2.202
Tl 2.262 0.507 2.202
Tl -2.262 -0.507 6.296
Tl 1.570 -1.706 6.296
Tl 0.692 2.213 6.296
Pd -4.297 1.557 3.499
Pd -3.497 -2.943 4.999
Pd -2.545 -0.629 3.562
Pd 0.800 -4.500 3.499
Pd -0.728 -2.519 4.935
Pd 1.818 -1.890 3.562
Pd -1.818 1.890 4.935
Pd 0.727 2.519 3.562
Pd -0.800 4.500 4.999
Pd 2.545 0.629 4.935
Pd 3.497 2.943 3.499
Pd 4.297 -1.557 4.999

---

14
Lattice="3.312 -3.305 0.000 3.312 3.305 0.000 -0.145 0.000 13.671" Properties=species:S:1:pos:R:3 comment="Mg5TlPd (PBE-GGA, relaxed)" formation_enthalpy_0k_mev_per_atom=-254 polymorph_energy_ev_per_atom=0.0000 density_g_cm3=4.796 magnetic_moment_mub_per_fu=0.0 final_energy_ev_per_cell=-34.62 sg="C2/c (15)" pbc="T T T"
Mg 3.204 3.301 10.253
Mg 1.610 1.650 5.413
Mg 1.542 1.638 12.248
Mg 4.943 1.650 1.423
Mg 1.614 -1.638 5.413
Mg 4.866 1.638 8.258
Mg 1.537 -1.650 12.248
Mg 4.938 -1.638 1.422
Mg 4.870 -1.650 8.258
Mg 3.276 -3.301 3.418
Tl 3.276 0.008 3.418
Tl 3.204 -0.008 10.253
Pd 0.000 0.000 0.000
Pd -0.072 0.000 6.835

---

11
Lattice="3.823 -4.977 0.000 3.823 4.977 0.000 0.000 0.000 6.932" Properties=species:S:1:pos:R:3 comment="Mg7Tl2Pd2 (PBE-GGA, relaxed)" formation_enthalpy_0k_mev_per_atom=-167 density_g_cm3=4.984 magnetic_moment_mub_per_fu=0.0 final_energy_ev_per_cell=-28.12 sg="Cmmm (65)" pbc="T T T"
Mg 0.000 0.000 0.000
Mg 1.912 2.488 1.784
Mg 1.912 2.488 5.148
Mg 1.912 -2.488 1.784
Mg 1.912 -2.488 5.148
Mg 3.823 0.000 1.512
Mg 3.823 0.000 5.420
Tl 1.497 0.000 3.466
Tl 6.149 0.000 3.466
Pd 3.823 2.226 0.000
Pd 3.823 -2.226 0.000

---

- Number 9 is which compound?
  Mg7TlPd4